A plane-wave DFT calculation with GGA-PBE was carried out for a relaxed structure of Ba2SrPu.

The value obtained for the total DFT energy (no corrections) is -4.50 eV/atom. Its crystal system is trigonal.

The structure belongs to space group R-3m (No. 166, hexagonal axes); the cell edges are 3.9933, 3.9933 and 43.3919 Å and the angles 90.00°, 90.00° and 120.00°. The asymmetric unit holds Ba at (0.0000, 0.0000, 0.0829), Sr at (0.0000, 0.0000, 0.5000) and Pu at (0.0000, 0.0000, 0.0000).

---

A plane-wave DFT calculation with GGA-PBE was carried out for a relaxed structure of Ba3Tb3PuTe8.

The value obtained for the uncorrected formation energy is -142.4 kJ per mole of atoms. Its crystal system is trigonal.

The structure belongs to space group R-3m (No. 166, hexagonal axes); the cell edges are 9.0685, 9.0685 and 23.8991 Å and the angles 90.00°, 90.00° and 120.00°. The asymmetric unit holds Ba at (0.0000, 0.5000, 0.0000), Tb at (0.0000, 0.5000, 0.5000), Pu at (0.0000, 0.0000, 0.5000), Te at (0.0000, 0.0000, 0.2390) and Te at (0.0102, 0.5051, 0.7602).

---

A plane-wave DFT calculation with GGA-PBE was carried out for a relaxed structure of BaPuTe.

The value obtained for the uncorrected formation energy is -75.5 kJ per mole of atoms. Its crystal system is tetragonal.

The structure belongs to space group P4/nmm (No. 129, origin choice 2); the cell edges are 4.584, 4.584 and 11.280 Å and the angles 90.00°, 90.00° and 90.00°. The asymmetric unit holds Ba at (0.250, 0.250, 0.169), Pu at (0.250, 0.750, 0.500) and Te at (0.250, 0.250, 0.706).

---

A plane-wave DFT calculation with GGA-PBE was carried out for a relaxed structure of Ba2PuTe3.

The value obtained for the uncorrected formation energy is -142.2 kJ per mole of atoms. Its crystal system is orthorhombic.

The structure belongs to space group Immm (No. 71); the cell edges are 4.792, 6.844 and 14.559 Å and the angles 90.00°, 90.00° and 90.00°. The asymmetric unit holds Ba at (0.000, 0.000, 0.170), Pu at (0.000, 0.000, 0.500), Te at (0.000, 0.500, 0.150) and Te at (0.000, 0.500, 0.500).